one:
Te2ClO (PBE, relaxed); DOS at the Fermi energy = 3.2 states/eV/cell; total moment = 0.00 Bohr magnetons per cell; ρ = 6.45 Mg/m³
1.0
0.0000 3.4042 3.4042
3.4042 0.0000 3.4042
3.4042 3.4042 0.0000
Te Cl O
2 1 1
Cartesian
1.7021 1.7021 1.7021
5.1063 5.1063 5.1063
0.0000 0.0000 0.0000
3.4042 3.4042 3.4042

two:
Te2ClO (PBE, relaxed); DOS at the Fermi energy = 3.9 states/eV/cell; total moment = 0.00 Bohr magnetons per cell; ρ = 4.87 Mg/m³
1.0
-2.6435 2.6435 7.4878
2.6435 -2.6435 7.4878
2.6435 2.6435 -7.4878
Te Cl O
4 2 2
Cartesian
0.6090 1.3217 1.8719
-1.3217 2.0345 5.6158
-0.6090 3.9652 1.8719
1.3217 3.2524 5.6158
2.6435 0.0000 3.7439
0.0000 0.0000 7.4878
0.0000 0.0000 0.0000
0.0000 2.6435 3.7439

three:
Te2ClO (PBE, relaxed); DOS at the Fermi energy = 1.9 states/eV/cell; total moment = 0.00 Bohr magnetons per cell; ρ = 5.71 Mg/m³
1.0
1.7011 0.9821 8.8914
-1.7011 0.9821 8.8914
0.0000 -1.9643 8.8914
Te Cl O
2 1 1
Cartesian
0.0000 0.0000 1.9729
0.0000 0.0000 24.7014
0.0000 0.0000 13.3371
0.0000 0.0000 0.0000

Q: Which of them is the most stable? A: three.

one:
Tl2ClO (PBE, relaxed); DOS at the Fermi energy = 6.2 states/eV/cell; total moment = 0.00 Bohr magnetons per cell; ρ = 7.04 Mg/m³
1.0
-3.5616 3.5616 4.2796
3.5616 -3.5616 4.2796
3.5616 3.5616 -4.2796
Tl Cl O
4 2 2
Cartesian
5.3425 1.2527 -1.0699
1.2527 1.7808 1.0699
-1.7808 2.3089 3.2097
2.3089 1.7808 5.3495
3.5616 0.0000 2.1398
0.0000 0.0000 4.2796
0.0000 0.0000 0.0000
0.0000 3.5616 2.1398

two:
Tl2ClO (PBE, relaxed); DOS at the Fermi energy = 2.0 states/eV/cell; total moment = 0.00 Bohr magnetons per cell; ρ = 7.42 Mg/m³
1.0
1.9708 1.1379 7.6510
-1.9708 1.1379 7.6510
0.0000 -2.2757 7.6510
Tl Cl O
2 1 1
Cartesian
0.0000 0.0000 0.0000
0.0000 0.0000 4.5350
0.0000 0.0000 17.2252
0.0000 0.0000 12.7717

Q: Which of them is the most stable? A: two.

one:
Tl2ClO (PBE, relaxed); DOS at the Fermi energy = 3.3 states/eV/cell; total moment = 0.00 Bohr magnetons per cell; ρ = 8.08 Mg/m³
1.0
1.9598 1.1315 7.1073
-1.9598 1.1315 7.1073
0.0000 -2.2629 7.1073
Tl Cl O
2 1 1
Cartesian
0.0000 0.0000 4.9269
0.0000 0.0000 16.3950
0.0000 0.0000 0.0000
0.0000 0.0000 10.6609

two:
Tl2ClO (PBE, relaxed); DOS at the Fermi energy = 6.9 states/eV/cell; total moment = 0.00 Bohr magnetons per cell; ρ = 8.30 Mg/m³
1.0
0.0000 3.5837 3.5837
3.5837 0.0000 3.5837
3.5837 3.5837 0.0000
Tl Cl O
2 1 1
Cartesian
1.7919 1.7919 1.7919
5.3756 5.3756 5.3756
0.0000 0.0000 0.0000
3.5837 3.5837 3.5837

Q: Which of them is the most stable? A: one.

one:
Tl4ClO2 (PBE, relaxed); total moment = 1.04 Bohr magnetons per cell; ρ = 5.58 Mg/m³
1.0
-2.9656 2.9656 7.4862
2.9656 -2.9656 7.4862
2.9656 2.9656 -7.4862
Tl Cl O
4 1 2
Cartesian
2.9656 0.0000 0.0000
0.0000 0.0000 3.2161
0.0000 2.9656 0.0000
0.0000 0.0000 11.7563
0.0000 0.0000 7.4862
0.0000 0.0000 1.1108
0.0000 0.0000 13.8617

two:
Tl4ClO2 (PBE, relaxed); DOS at the Fermi energy = 5.4 states/eV/cell; total moment = 0.00 Bohr magnetons per cell; ρ = 8.49 Mg/m³
1.0
1.9995 -6.9861 0.0000
1.9995 6.9861 0.0000
0.0000 0.0000 12.3857
Tl Cl O
8 2 4
Cartesian
0.0000 0.0000 0.0000
0.0000 0.0000 6.1929
1.9995 3.4596 7.6147
1.9995 3.4596 10.9639
1.9995 1.1838 3.0964
1.9995 -1.1838 9.2893
1.9995 -3.4596 1.4218
1.9995 -3.4596 4.7710
1.9995 5.9220 3.0964
1.9995 -5.9220 9.2893
1.9995 2.2622 0.5496
1.9995 2.2622 5.6433
1.9995 -2.2622 6.7424
1.9995 -2.2622 11.8362

Q: Which of them is the most stable? A: two.

one:
UCl2O (PBE, relaxed); DOS at the Fermi energy = 3.1 states/eV/cell; total moment = 2.00 Bohr magnetons per cell; ρ = 5.81 Mg/m³
1.0
3.2575 0.0000 0.0000
0.0000 1.7427 8.1818
0.0000 -1.7427 8.1818
U Cl O
1 2 1
Cartesian
0.0000 0.0000 0.0000
0.0000 0.0000 2.4804
1.6287 0.0000 14.1478
1.6287 0.0000 8.3722

two:
UCl2O (PBE, relaxed); DOS at the Fermi energy = 7.4 states/eV/cell; total moment = 2.00 Bohr magnetons per cell; ρ = 5.74 Mg/m³
1.0
3.3055 -1.9096 0.0000
3.3055 1.9096 0.0000
-2.2111 0.0000 7.4504
U Cl O
1 2 1
Cartesian
0.0000 0.0000 0.0000
2.1996 0.0000 5.5073
4.4106 0.0000 1.9433
-0.0064 0.0000 7.4502

Q: Which of them is the most stable? A: two.